This record from Alexandria via LeMat-Bulk describes a relaxed Ac6Ru3I crystal. The functional is PBE. Values from VASP.

Calculated values
For the density of states at the Fermi level, the calculation gives 5.3 states/eV/f.u. As for the crystal system: monoclinic. The uncorrected formation energy is -33.0 kJ/mol of atoms.

Geometry as Quantum ESPRESSO input:
```
&SYSTEM
  ibrav = 0, nat = 20, ntyp = 3
/
ATOMIC_SPECIES
Ac 227.00 Ac.upf
Ru 101.07 Ru.upf
I 126.90 I.upf
CELL_PARAMETERS angstrom
-0.775 4.068 -1.319
-11.940 -3.683 -4.342
4.663 5.584 14.481
ATOMIC_POSITIONS crystal
Ac 0.750 0.108 0.483
Ac 0.250 0.892 0.517
Ac 0.750 0.168 0.073
Ac 0.250 0.832 0.927
Ac 0.750 0.654 0.615
Ac 0.250 0.346 0.385
Ac 0.750 0.577 0.331
Ac 0.250 0.423 0.669
Ac 0.750 0.267 0.794
Ac 0.250 0.733 0.206
Ac 0.750 0.013 0.212
Ac 0.250 0.987 0.788
Ru 0.750 0.346 0.509
Ru 0.250 0.654 0.491
Ru 0.750 0.819 0.349
Ru 0.250 0.181 0.651
Ru 0.750 0.911 0.849
Ru 0.250 0.089 0.151
I 0.750 0.623 0.957
I 0.250 0.377 0.043
```